No. 1
## BeFePd2 (PBE)

Data for a relaxed structure of BeFePd2.

```
BeFePd2
1.0
-1.1517 1.5119 1.9903
0.5173 -1.9998 1.8185
5.9205 2.7484 1.3381
Be Fe Pd
1 1 2
Cartesian
-0.3172 -0.2439 1.9044 Be
2.6431 1.1303 2.5735 Fe
4.6329 2.1507 1.0471 Pd
1.2876 0.5977 0.2910 Pd
```

Space-group type: P4/mmm
Calculated formation energy: -7.6 kcal/mol of atoms

***

No. 2
## LiTlZn (PBE)

Data for a relaxed structure of LiTlZn.

```
LiTlZn
1.0
5.0683 -0.4965 0.5330
4.1503 3.0262 0.6032
0.9181 0.3191 3.5089
Li Tl Zn
1 1 1
Cartesian
0.9728 0.3337 3.4933 Li
3.6817 1.0551 2.7189 Tl
6.4002 1.7791 1.9418 Zn
```

Space-group type: Fmm2
Calculated formation energy: -1.8 kcal/mol of atoms

***

No. 3
## Cu2OsSO (PBE)

Data for a relaxed structure of Cu2OsSO.

```
Cu2OsSO
1.0
-0.0874 1.6890 4.4894
-3.9620 1.3601 -0.5889
-1.6786 -4.2170 1.5538
S Os O Cu
1 1 1 2
Cartesian
-1.9810 0.6801 -0.2944 S
0.0000 0.0000 0.0000 Os
-2.8640 -0.5839 2.7272 O
-0.8393 -2.1085 0.7769 Cu
-0.0437 0.8445 2.2447 Cu
```

Space-group type: P4/mmm
Uncorrected energy: -4.501 eV/atom

***

No. 4
## Y2GaBPb (PBE)

Data for a relaxed structure of Y2GaBPb.

```
Y2GaBPb
1.0
-5.4108 2.7951 -2.8777
-3.3738 -2.2003 4.2065
0.9316 5.5751 3.6634
Pb Y B Ga
1 2 1 1
Cartesian
0.0000 0.0000 0.0000 Pb
0.4658 2.7876 1.8317 Y
-2.7054 1.3975 -1.4388 Y
-3.9265 3.0849 2.4961 B
-1.6869 -1.1002 2.1033 Ga
```

Space-group type: P4/mmm
Calculated formation energy: 41.2 kcal/mol of atoms

***

No. 5
## CaPrAu2 (PBE)

Data for a relaxed structure of CaPrAu2.

```
CaPrAu2
1.0
-1.9622 -3.0904 0.4045
1.6145 -0.3758 4.9607
-4.1213 2.8203 1.5549
Pr Ca Au
1 1 2
Cartesian
-2.2345 -0.3230 3.4601 Pr
-0.9811 -1.5452 0.2023 Ca
-2.0606 1.4101 0.7775 Au
0.8073 -0.1879 2.4804 Au
```

Space-group type: P4/mmm
Calculated formation energy: -17.9 kcal/mol of atoms

***

No. 6
## Ac3InCu (PBE)

Data for a relaxed structure of Ac3InCu.

```
Ac3InCu
1.0
-3.7951 2.9306 2.1689
-3.7767 -7.4114 3.4146
4.3800 1.4734 5.7095
Ac In Cu
6 2 2
Cartesian
-3.2105 -4.3194 7.1735 Ac
-3.0113 -1.8890 4.2286 Ac
0.4286 -0.9986 2.6543 Ac
-2.9219 -5.3373 2.6750 Ac
-0.3014 -0.0599 6.5083 Ac
-2.1286 1.3210 1.4222 Ac
-0.1074 -3.5898 5.2227 In
2.8113 0.5517 4.7489 In
-1.2071 -2.3826 8.1184 Cu
2.7267 -1.1921 6.9635 Cu
```

Space-group type: P1
Calculated formation energy: -3.0 kcal/mol of atoms

***

No. 7
## Tb3ScIn (PBE)

Data for a relaxed structure of Tb3ScIn.

```
Tb3ScIn
1.0
4.6479 0.0000 1.0622
0.0000 4.7703 0.0000
-0.4080 0.0000 12.4860
Tb Sc In
6 2 2
Cartesian
3.5314 1.1926 2.1848 Tb
1.3902 1.1926 11.5548 Tb
2.4629 1.1926 6.8604 Tb
1.2152 3.5777 1.6198 Tb
3.7218 3.5777 12.0520 Tb
0.1425 3.5777 6.3142 Tb
1.9258 3.5777 9.2108 Sc
0.6796 1.1926 3.9638 Sc
2.9963 3.5777 4.5267 In
4.2571 1.1926 9.7101 In
```

Space-group type: Cmcm
Calculated formation energy: -4.2 kcal/mol of atoms

***

No. 8
## CoCu2SnS4 (PBE)

Data for a relaxed structure of CoCu2SnS4.

```
CoCu2SnS4
1.0
6.5843 -0.0055 0.0000
2.1243 6.2322 0.0000
-4.3543 -3.1133 3.8341
Co Cu Sn S
1 2 1 4
Cartesian
0.0000 0.0000 0.0000 Co
3.2921 -0.0028 1.9170 Cu
1.0622 3.1161 1.9170 Cu
4.3543 3.1133 0.0000 Sn
3.2111 2.2959 2.0680 S
6.7003 2.2485 0.0000 S
-1.1432 -0.8174 1.7661 S
4.2947 5.6129 0.0000 S
```

Space-group type: I-42m
Uncorrected energy: -4.785 eV/atom

***

No. 9
## PmHo3Co (PBE)

Data for a relaxed structure of PmHo3Co.

```
PmHo3Co
1.0
-3.9415 -2.7272 -2.1954
0.0544 -3.3531 4.0678
-3.5007 3.0186 2.5351
Co Ho Pm
1 3 1
Cartesian
0.0000 0.0000 0.0000 Co
0.0272 -1.6766 2.0339 Ho
-1.7503 1.5093 1.2675 Ho
-1.9708 -1.3636 -1.0977 Ho
-3.6939 -1.5309 2.2037 Pm
```

Space-group type: Pm-3m
Calculated formation energy: -0.7 kcal/mol of atoms

***

No. 10
## CaAc3P3 (PBE)

Data for a relaxed structure of CaAc3P3.

```
CaAc3P3
1.0
-4.5213 3.8607 1.4493
-3.7131 -2.8757 -3.9231
-1.7940 -3.7780 4.4673
Ca Ac P
1 3 3
Cartesian
-5.0142 -1.3965 0.9967 Ca
-1.8566 -1.4379 -1.9616 Ac
-0.8970 -1.8890 2.2336 Ac
-2.2607 1.9303 0.7247 Ac
-3.1576 0.0413 2.9583 P
-4.1172 0.4925 -1.2369 P
-2.7535 -3.3269 0.2721 P
```

Space-group type: Pm-3m
Calculated formation energy: -25.7 kcal/mol of atoms

***

No. 11
## ZrMnI2N (PBE)

Data for a relaxed structure of ZrMnI2N.

```
ZrMnI2N
1.0
5.4039 0.0000 0.0000
0.0000 5.4039 0.0000
0.0000 0.0000 3.5222
I Mn Zr N
2 1 1 1
Cartesian
0.0000 2.7019 0.0000 I
2.7019 0.0000 0.0000 I
0.0000 0.0000 0.0000 Mn
2.7019 2.7019 1.7611 Zr
0.0000 0.0000 1.7611 N
```

Space-group type: P4/mmm
Uncorrected energy: -5.452 eV/atom

***

No. 12
## RbNa2HgSe (PBE)

Data for a relaxed structure of RbNa2HgSe.

```
RbNa2HgSe
1.0
5.5797 0.0000 0.0000
0.0000 5.5797 0.0000
0.0000 0.0000 6.7613
Na Se Hg Rb
2 1 1 1
Cartesian
0.0000 2.7899 0.0000 Na
2.7899 0.0000 0.0000 Na
0.0000 0.0000 0.0000 Se
2.7899 2.7899 3.3806 Hg
0.0000 0.0000 3.3806 Rb
```

Space-group type: P4/mmm
Uncorrected energy: -2.043 eV/atom

***

No. 13
## CdIn2Ag (PBE)

Data for a relaxed structure of CdIn2Ag.

```
CdIn2Ag
1.0
5.1123 0.0000 0.0000
2.5562 4.4274 0.0000
2.5562 1.4758 4.1742
Cd Ag In
1 1 2
Cartesian
7.6685 4.4274 3.1307 Cd
5.1123 2.9516 2.0871 Ag
0.0000 0.0000 0.0000 In
2.5562 1.4758 1.0436 In
```

Space-group type: F-43m
Calculated formation energy: 1.7 kcal/mol of atoms

***

No. 14
## Pr6InAg (PBE)

Data for a relaxed structure of Pr6InAg.

```
Pr6InAg
1.0
9.2742 0.0162 0.1873
4.6336 7.3738 -0.1544
4.5591 2.3609 3.7555
Pr In Ag
6 1 1
Cartesian
5.8525 5.1215 2.8316 Pr
14.7782 8.8794 2.7083 Pr
7.0511 2.2355 0.7125 Pr
3.6887 0.8715 1.0801 Pr
12.6145 4.6293 0.9568 Pr
11.4158 7.5153 3.0759 Pr
9.2335 4.8754 1.8942 In
0.0000 0.0000 0.0000 Ag
```

Space-group type: R-3
Calculated formation energy: -2.5 kcal/mol of atoms

***

No. 15
## CdHg2GeI (PBE)

Data for a relaxed structure of CdHg2GeI.

```
CdHg2GeI
1.0
5.3609 0.0000 0.0000
0.0000 5.3609 0.0000
0.0000 0.0000 5.4262
I Ge Hg Cd
1 1 2 1
Cartesian
2.6804 2.6804 2.7131 I
0.0000 0.0000 0.0000 Ge
0.0000 2.6804 0.0000 Hg
2.6804 0.0000 0.0000 Hg
0.0000 0.0000 2.7131 Cd
```

Space-group type: P4/mmm
Uncorrected energy: -1.577 eV/atom

***

No. 16
## Mg2ScMn (PBE)

Data for a relaxed structure of Mg2ScMn.

```
Mg2ScMn
1.0
3.3694 0.4350 0.0000
-0.4350 3.3694 0.0000
0.0000 0.0000 7.0044
Mg Mn Sc
2 1 1
Cartesian
0.0000 0.0000 0.2242 Mg
0.0000 0.0000 3.2780 Mg
1.4672 1.9022 1.7511 Mn
1.4672 1.9022 5.2533 Sc
```

Space-group type: P4/mmm
Calculated formation energy: 3.5 kcal/mol of atoms

***

No. 17
## Ac5NdSn5 (PBE)

Data for a relaxed structure of Ac5NdSn5.

```
Ac5NdSn5
1.0
-3.7510 -1.0860 -5.4566
-0.5258 -6.1040 5.7019
-5.8404 6.5853 2.7043
Ac Nd Sn
5 1 5
Cartesian
-4.6344 -0.6827 -0.8039 Ac
-7.5482 2.7210 0.5217 Ac
-2.9202 3.2926 1.3521 Ac
-2.5690 -3.3257 2.4279 Ac
-5.4829 0.0780 3.7536 Ac
0.0000 0.0000 0.0000 Nd
-4.4632 -4.0257 -0.2562 Sn
-7.4403 -0.6259 1.1137 Sn
-1.8755 -0.5430 -2.7283 Sn
-2.6769 0.0213 1.8360 Sn
-5.6540 3.4210 3.2059 Sn
```

Space-group type: C2/m
Calculated formation energy: -10.9 kcal/mol of atoms

***

No. 18
## Hf2Cu2I (PBE)

Data for a relaxed structure of Hf2Cu2I.

```
Hf2Cu2I
1.0
3.5569 0.0000 0.0000
0.0000 3.5569 0.0000
1.7784 1.7784 7.6890
I Hf Cu
1 2 2
Cartesian
0.0000 0.0000 0.0000 I
1.7784 1.7784 1.7850 Hf
3.5569 3.5569 5.9040 Hf
3.5569 1.7784 3.8445 Cu
1.7784 3.5569 3.8445 Cu
```

Space-group type: I4/mmm
Uncorrected energy: -5.705 eV/atom

***

No. 19
## ZrAgAuBr2 (PBE)

Data for a relaxed structure of ZrAgAuBr2.

```
ZrAgAuBr2
1.0
5.1680 0.0000 0.0000
0.0000 5.3118 0.0000
0.0000 0.0000 5.1680
Br Au Zr Ag
2 1 1 1
Cartesian
0.0000 0.0000 2.5840 Br
2.5840 0.0000 0.0000 Br
0.0000 2.6559 0.0000 Au
2.5840 2.6559 2.5840 Zr
0.0000 0.0000 0.0000 Ag
```

Space-group type: P4/mmm
Uncorrected energy: -3.087 eV/atom

***

No. 20
## SmDy2Pb3 (PBE)

Data for a relaxed structure of SmDy2Pb3.

```
SmDy2Pb3
1.0
-5.3254 -3.6044 0.2034
0.1683 -0.6107 -6.4157
5.9254 -5.6834 3.9356
Sm Dy Pb
2 4 6
Cartesian
-3.9729 -2.7801 -0.6536 Sm
-1.1842 -1.4351 -5.5588 Sm
-1.0279 -4.3157 -2.0490 Dy
1.6766 -2.6655 -3.7477 Dy
-0.9083 -7.2331 1.4709 Dy
1.7963 -5.5829 -0.2277 Dy
-1.2681 -1.1305 -2.3588 Pb
-3.8889 -3.0847 -3.8536 Pb
1.5933 -2.4004 -0.5360 Pb
1.8796 -5.8480 -3.4394 Pb
-1.1112 -4.0506 1.1627 Pb
-0.8250 -7.4982 -1.7408 Pb
```

Space-group type: C2/c
Calculated formation energy: -11.7 kcal/mol of atoms

***

No. 21
## InSe2 (PBE)

Data for a relaxed structure of InSe2.

```
InSe2
1.0
2.7422 -1.4861 7.0048
3.2916 -4.7651 5.0254
7.6024 0.6832 0.9783
In Se
2 4
Cartesian
1.5157 -0.2013 0.7541 In
3.5634 -1.6802 3.7723 In
10.1744 -2.9819 7.7636 Se
6.0745 -3.7959 7.9742 Se
8.2607 -5.0541 10.6653 Se
9.0476 -2.0626 5.9279 Se
```

Space-group type: Cm
Uncorrected energy: -3.565 eV/atom

***

No. 22
## Pm3AgAu4 (PBE)

Data for a relaxed structure of Pm3AgAu4.

```
Pm3AgAu4
1.0
-2.0172 -1.7735 -3.0447
3.5671 -1.3277 -1.5959
-0.0549 -11.3370 3.9110
Au Ag Pm
4 1 3
Cartesian
-0.3988 -4.3237 -2.6413 Au
1.8937 -10.1146 1.9117 Au
-0.6022 -6.7158 -1.1129 Au
2.0972 -7.7224 0.3833 Au
0.0000 0.0000 0.0000 Ag
2.2997 -5.2067 -1.2100 Pm
-0.8047 -9.2315 0.4804 Pm
0.7749 -1.5506 -2.3203 Pm
```

Space-group type: P-1
Calculated formation energy: -13.9 kcal/mol of atoms

***

No. 23
## CrFeAg2 (PBE)

Data for a relaxed structure of CrFeAg2.

```
CrFeAg2
1.0
-3.7435 2.2377 -2.0049
-3.6262 -0.5519 3.0963
4.4470 1.6264 0.7871
Ag Cr Fe
2 1 1
Cartesian
0.0000 0.0000 0.0000 Ag
-3.6848 0.8429 0.5457 Ag
-1.4320 0.9587 2.2145 Cr
-1.4907 2.3535 -0.3361 Fe
```

Space-group type: I4/mmm
Calculated formation energy: 13.6 kcal/mol of atoms

***

No. 24
## Tb2ScRe (PBE)

Data for a relaxed structure of Tb2ScRe.

```
Tb2ScRe
1.0
-0.1945 3.0764 0.7094
-1.9265 1.8859 -1.6546
-8.9210 -0.5034 6.7894
Sc Re Tb
1 1 2
Cartesian
-5.5210 2.2295 2.9221 Sc
0.0000 0.0000 0.0000 Re
-6.9068 0.0257 5.0473 Tb
-4.1352 4.4333 0.7969 Tb
```

Space-group type: R-3m
Calculated formation energy: 17.8 kcal/mol of atoms

***

No. 25
## AcTb6Y3Er2 (PBE)

Data for a relaxed structure of AcTb6Y3Er2.

```
AcTb6Y3Er2
1.0
-0.2373 5.0376 -3.6359
-5.0894 -1.8845 3.0332
4.7231 5.6871 9.3390
Ac Tb Y Er
1 6 3 2
Cartesian
0.0000 0.0000 0.0000 Ac
0.3650 7.7686 5.4039 Tb
-2.7886 3.7991 1.9144 Tb
-0.9686 1.0716 3.3324 Tb
-1.2677 5.4393 7.6481 Tb
2.1850 5.0411 6.8219 Tb
0.6641 3.4009 1.0882 Tb
-1.9164 2.1166 6.5875 Y
1.3128 6.7236 2.1489 Y
-0.3018 4.4201 4.3682 Y
-3.4716 0.4234 0.8097 Er
-1.8550 2.7297 -1.4124 Er
```

Space-group type: C2/m
Calculated formation energy: 0.7 kcal/mol of atoms

***

No. 26
## ZrTi2NbN (PBE)

Data for a relaxed structure of ZrTi2NbN.

```
ZrTi2NbN
1.0
-1.5216 1.0378 3.7335
-3.4940 -2.1020 -0.8396
1.8395 -3.7763 1.7994
Nb N Zr Ti
1 1 1 2
Cartesian
-1.5880 -2.4203 2.3467 Nb
0.0000 0.0000 0.0000 N
0.9198 -1.8882 0.8997 Zr
-1.7470 -1.0510 -0.4198 Ti
-0.7608 0.5189 1.8667 Ti
```

Space-group type: P4/mmm
Uncorrected energy: -9.241 eV/atom

***

No. 27
## Sc4CdC2 (PBE)

Data for a relaxed structure of Sc4CdC2.

```
Sc4CdC2
1.0
3.3258 0.0000 0.0000
1.6629 2.8803 0.0000
1.6629 0.9601 13.4951
Sc Cd C
4 1 2
Cartesian
1.6629 0.9601 8.3763 Sc
1.6629 0.9601 2.6561 Sc
4.9888 2.8803 10.8390 Sc
4.9888 2.8803 5.1188 Sc
0.0000 0.0000 0.0000 Cd
3.3258 1.9202 9.5874 C
3.3258 1.9202 3.9077 C
```

Space-group type: R-3m
Calculated formation energy: -10.0 kcal/mol of atoms